[1]
Computed, not measured: a relaxed structure of RbMgAu3 at the GGA-PBEsol level of DFT.

Lattice parameters (Å, degrees): 5.1272 5.1272 5.1272 90.00 90.00 90.00
With the nearest neighbours (Å) after each atom.
Sites, in units of the cell vectors:
Au 0.0000 0.0000 0.5000  2 Mg 2.56
Rb 0.5000 0.5000 0.5000  12 Au 3.63
Au 0.5000 0.0000 0.0000  2 Mg 2.56
Au 0.0000 0.5000 0.0000  2 Mg 2.56
Mg 0.0000 0.0000 0.0000  6 Au 2.56

Computed properties:
Energy above the most stable polymorph in this dataset = 0 meV/atom
Crystal system = cubic
Total energy = -2.837 eV/atom

=====

[2]
Computed, not measured: a relaxed structure of RbMgAu3 at the GGA-PBEsol level of DFT.

Lattice parameters (Å, degrees): 5.5687 5.5687 5.5687 90.00 90.00 90.00
With the nearest neighbours (Å) after each atom.
Sites, in units of the cell vectors:
Au 0.0000 0.0000 0.5000  2 Rb 2.78
Au 0.5000 0.0000 0.0000  2 Rb 2.78
Au 0.0000 0.5000 0.0000  2 Rb 2.78
Mg 0.5000 0.5000 0.5000  12 Au 3.94
Rb 0.0000 0.0000 0.0000  6 Au 2.78

Computed properties:
Energy above the most stable polymorph in this dataset = 1201 meV/atom
Crystal system = cubic
Total energy = -1.636 eV/atom

=====

[3]
Computed, not measured: a relaxed structure of RbMg2Au at the GGA-PBEsol level of DFT.

Lattice parameters (Å, degrees): 5.1948 5.1948 5.1948 60.00 60.00 60.00
With the nearest neighbours (Å) after each atom.
Sites, in units of the cell vectors:
Au 0.5000 0.5000 0.5000  8 Mg 3.18
Rb 0.0000 0.0000 0.0000  8 Mg 3.18
Mg 0.2500 0.2500 0.2500  4 Rb 3.18, 4 Au 3.18
Mg 0.7500 0.7500 0.7500  4 Rb 3.18, 4 Au 3.18

Computed properties:
Crystal system = cubic
Total energy = -1.955 eV/atom

=====

[4]
Computed, not measured: a relaxed structure of MgRe2Au at the GGA-PBEsol level of DFT.

Lattice parameters (Å, degrees): 3.1301 4.2435 5.3985 113.14 106.85 90.00
With the nearest neighbours (Å) after each atom.
Sites, in units of the cell vectors:
Re 0.7551 0.7551 0.5102  4 Re 2.64, 2 Au 2.79, 2 Mg 2.87
Mg 0.0000 0.5000 0.0000  4 Au 2.64, 4 Re 2.87
Au 0.5000 0.0000 0.0000  4 Mg 2.64, 4 Re 2.79
Re 0.2449 0.2449 0.4898  4 Re 2.64, 2 Au 2.79, 2 Mg 2.87

Computed properties:
Crystal system = orthorhombic
Total energy = -7.748 eV/atom

=====

[5]
Computed, not measured: a relaxed structure of Mg2ReAu at the GGA-PBEsol level of DFT.

Lattice parameters (Å, degrees): 2.7130 5.0520 5.0520 109.36 90.00 90.00
With the nearest neighbours (Å) after each atom.
Sites, in units of the cell vectors:
Re 0.5000 0.0000 0.0000  2 Re 2.71, 8 Mg 2.87, 2 Au 2.92
Mg 0.0000 0.0000 0.5000  4 Mg 2.71-2.92, 4 Au 2.87, 4 Re 2.87
Au 0.5000 0.5000 0.5000  2 Au 2.71, 8 Mg 2.87, 2 Re 2.92
Mg 0.0000 0.5000 0.0000  4 Mg 2.71-2.92, 4 Re 2.87, 4 Au 2.87

Computed properties:
Energy above the most stable polymorph in this dataset = 0 meV/atom
Crystal system = orthorhombic
Total energy = -5.092 eV/atom

=====

[6]
Computed, not measured: a relaxed structure of Mg2ReAu at the GGA-PBEsol level of DFT.

Lattice parameters (Å, degrees): 2.8170 4.8162 5.1330 99.78 90.00 107.00
With the nearest neighbours (Å) after each atom.
Sites, in units of the cell vectors:
Mg 0.7529 0.5059 0.7413  3 Re 2.78-2.81, 3 Au 2.80-2.88, 6 Mg 2.82-3.01
Au 0.5000 0.0000 0.0000  6 Mg 2.80-2.88, 2 Au 2.82, 4 Re 2.93
Mg 0.2471 0.4941 0.2587  3 Re 2.78-2.81, 3 Au 2.80-2.88, 6 Mg 2.82-3.01
Re 0.0000 0.0000 0.5000  6 Mg 2.78-2.81, 2 Re 2.82, 4 Au 2.93

Computed properties:
Energy above the most stable polymorph in this dataset = 112 meV/atom
Crystal system = monoclinic
Total energy = -4.980 eV/atom

=====

[7]
Computed, not measured: a relaxed structure of MgRe2Au at the GGA-PBEsol level of DFT.

Lattice parameters (Å, degrees): 3.9348 4.2343 4.6971 116.79 114.76 90.00
With the nearest neighbours (Å) after each atom.
Sites, in units of the cell vectors:
Au 0.5008 0.5008 0.0016  4 Mg 2.71-2.81, 8 Re 2.75-2.89
Re 0.0083 0.0083 0.0167  4 Re 2.60-2.91, 4 Mg 2.73-2.78, 4 Au 2.89
Re 0.7388 0.2388 0.4777  4 Re 2.60-2.91, 4 Au 2.75-2.76, 4 Mg 2.89
Mg 0.2520 0.7520 0.5040  4 Au 2.71-2.81, 8 Re 2.73-2.89

Computed properties:
Crystal system = orthorhombic
Total energy = -7.758 eV/atom

=====

[8]
Computed, not measured: a relaxed structure of Mg2ReAu at the GGA-PBEsol level of DFT.

Lattice parameters (Å, degrees): 3.0199 4.5264 4.8060 90.00 90.00 90.00
With the nearest neighbours (Å) after each atom.
Sites, in units of the cell vectors:
Mg 0.0000 0.0000 0.0000  4 Re 2.72, 6 Mg 2.84-3.02
Re 0.5000 0.5000 0.0000  4 Mg 2.72, 4 Au 2.84, 2 Re 3.02
Au 0.0000 0.5000 0.5000  4 Mg 2.72, 4 Re 2.84, 2 Au 3.02
Mg 0.5000 0.0000 0.5000  4 Au 2.72, 6 Mg 2.84-3.02

Computed properties:
Energy above the most stable polymorph in this dataset = 185 meV/atom
Crystal system = orthorhombic
Total energy = -4.907 eV/atom

=====

[9]
Computed, not measured: a relaxed structure of MgRe2RuAu at the GGA-PBEsol level of DFT.

Lattice parameters (Å, degrees): 4.5872 4.5872 5.0191 90.00 90.00 90.00
With the nearest neighbours (Å) after each atom.
Sites, in units of the cell vectors:
Mg 0.5000 0.5000 0.5000  4 Au 3.24, 8 Re 3.40
Re 0.5000 0.0000 0.0000  2 Ru 2.29
Ru 0.0000 0.0000 0.0000  4 Re 2.29, 2 Au 2.51
Re 0.0000 0.5000 0.0000  2 Ru 2.29
Au 0.0000 0.0000 0.5000  2 Ru 2.51

Computed properties:
Crystal system = tetragonal
Total energy = -6.791 eV/atom

=====

[10]
Computed, not measured: a relaxed structure of MgRh2Au at the GGA-PBEsol level of DFT.

Lattice parameters (Å, degrees): 2.9264 4.5516 5.3000 115.43 106.03 90.00
With the nearest neighbours (Å) after each atom.
Sites, in units of the cell vectors:
Rh 0.7402 0.2402 0.4803  2 Rh 2.59, 4 Mg 2.71, 2 Au 2.77
Mg 0.2548 0.7548 0.5095  6 Rh 2.71-2.72, 2 Au 2.75, 2 Mg 2.93
Rh 0.0063 0.0063 0.0126  2 Rh 2.59, 4 Au 2.71, 2 Mg 2.72
Au 0.4988 0.4988 0.9976  6 Rh 2.71-2.77, 2 Mg 2.75, 2 Au 2.93

Computed properties:
Crystal system = orthorhombic
Total energy = -5.571 eV/atom

=====

[11]
Computed, not measured: a relaxed structure of MgRh2Au at the GGA-PBEsol level of DFT.

Lattice parameters (Å, degrees): 3.9193 3.9193 3.8624 90.00 90.00 90.00
With the nearest neighbours (Å) after each atom.
Sites, in units of the cell vectors:
Rh 0.5000 0.0000 0.0000  4 Mg 2.75, 4 Au 2.75, 4 Rh 2.77
Mg 0.0000 0.0000 0.5000  8 Rh 2.75, 4 Au 2.77
Au 0.5000 0.5000 0.5000  8 Rh 2.75, 4 Mg 2.77
Rh 0.0000 0.5000 0.0000  4 Mg 2.75, 4 Au 2.75, 4 Rh 2.77

Computed properties:
Crystal system = tetragonal
Total energy = -5.665 eV/atom

=====

[12]
Computed, not measured: a relaxed structure of MgRh2Au at the GGA-PBEsol level of DFT.

Lattice parameters (Å, degrees): 2.8870 4.5509 4.5663 90.00 90.00 90.00
With the nearest neighbours (Å) after each atom.
Sites, in units of the cell vectors:
Mg 0.0000 0.5000 0.5000  4 Rh 2.69, 4 Au 2.70, 2 Mg 2.89
Rh 0.5000 0.0000 0.5000  4 Mg 2.69, 6 Rh 2.70-2.89
Au 0.5000 0.5000 0.0000  4 Rh 2.69, 4 Mg 2.70, 2 Au 2.89
Rh 0.0000 0.0000 0.0000  4 Au 2.69, 6 Rh 2.70-2.89

Computed properties:
Crystal system = orthorhombic
Total energy = -5.615 eV/atom

=====

In Å³/atom, the V values for the records above are, in order, 27.0; 34.5; 24.8; 15.6; 16.3; 16.4; 15.4; 16.4; 21.1; 15.2; 14.8; 15.0.